Record 1
A relaxed K2InAu crystal, computed with PBE.

The structure in extended XYZ format:
```
4
Lattice="5.222 0.000 0.000 0.000 5.219 0.000 0.000 0.000 4.906" Properties=species:S:1:pos:R:3 pbc="T T T"
K 0.000 0.000 0.000
In 0.000 2.610 2.453
Au 2.611 0.000 2.453
K 2.611 2.610 0.000
```

Computed properties:
Total moment (μB/f.u.): 0.000
Space-group type: No. 123
Energy of formation (eV per atom): -0.0445
Final energy (eV per atom): -2.10

=====

Record 2
A relaxed KCr2Tc crystal, computed with PBE.

The structure in extended XYZ format:
```
4
Lattice="-2.123 2.297 4.938 -3.414 -3.477 3.229 5.209 1.267 -2.332" Properties=species:S:1:pos:R:3 pbc="T T T"
Cr -0.034 1.446 3.628
K -2.684 -0.572 3.960
Cr -0.184 -0.039 0.272
Tc -0.195 -1.338 2.059
```

Computed properties:
Total moment (μB/f.u.): 4.321
Energy above the lowest structure with this stoichiometry (kJ/mol of atoms): 43.7
Space-group type: No. 44
Energy of formation (eV per atom): 1.2404
Final energy (eV per atom): -6.44

=====

Record 3
A relaxed HfAlHg crystal, computed with PBE.

The structure in extended XYZ format:
```
3
Lattice="3.145 0.000 0.000 0.000 3.145 0.000 -1.572 -1.572 5.961" Properties=species:S:1:pos:R:3 pbc="T T T"
Al 1.572 1.572 1.951
Hf 0.000 0.000 0.122
Hg 0.000 0.000 3.888
```

Computed properties:
Total moment (μB/f.u.): 0.000
Energy above the lowest structure with this stoichiometry (kJ/mol of atoms): 4.5
Space-group type: No. 107
Energy of formation (eV per atom): -0.1037
Final energy (eV per atom): -4.77

=====

Record 4
A relaxed PmSbCl crystal, computed with PBE.

The structure in extended XYZ format:
```
6
Lattice="4.122 0.001 0.001 -0.001 5.797 -0.955 -2.062 -1.745 7.484" Properties=species:S:1:pos:R:3 pbc="T T T"
Pm 2.060 0.836 5.078
Pm -0.001 3.216 1.452
Sb 2.061 1.411 -0.232
Sb -0.002 2.642 6.762
Cl 2.060 3.549 3.473
Cl -0.001 0.504 3.057
```

Computed properties:
Total moment (μB/f.u.): 0.000
E_form (uncorrected) (eV per atom): -1.439
Energy above the lowest structure with this stoichiometry (kJ/mol of atoms): 0.0
Space-group type: No. 71
Final energy (eV per atom): -5.01

=====

Record 5
A relaxed ZnAg2Os crystal, computed with PBE.

The structure in extended XYZ format:
```
4
Lattice="4.487 0.000 0.000 0.000 4.487 0.000 0.000 0.000 3.175" Properties=species:S:1:pos:R:3 pbc="T T T"
Ag 2.243 2.243 0.000
Zn 0.000 2.243 1.588
Os 2.243 0.000 1.588
Ag 0.000 0.000 0.000
```

Computed properties:
Total moment (μB/f.u.): 0.001
Space-group type: No. 123
Energy of formation (eV per atom): 0.6187
Final energy (eV per atom): -3.93

=====

Record 6
A relaxed KMg2In4Ga crystal, computed with PBE.

The structure in extended XYZ format:
```
8
Lattice="-0.927 -4.822 -1.443 1.755 -3.896 2.816 -8.405 -2.870 5.918" Properties=species:S:1:pos:R:3 pbc="T T T"
In -6.220 -5.784 5.175
In -2.457 -8.704 3.439
K 0.000 0.000 0.000
Mg -5.145 -8.693 5.130
Ga -3.789 -5.794 3.646
Mg -2.432 -2.895 2.161
In -5.121 -2.884 3.852
In -1.357 -5.804 2.116
```

Computed properties:
Total moment (μB/f.u.): 0.000
Space-group type: No. 166
Energy of formation (eV per atom): -0.0450
Final energy (eV per atom): -2.33